[1]
# PrLuNi

An optimized crystal structure of PrLuNi (PBE, Alexandria).

extended XYZ file:
```
3
Lattice="-0.5924 4.1005 1.0032 -1.6452 0.7702 -4.1198 -2.7664 -1.2163 3.3378" Properties=species:S:1:pos:R:3 pbc="T T T"
Ni -0.0404 0.2798 0.0685
Lu -2.5219 0.3402 1.0707
Pr -2.4418 3.0344 -0.9180
```

Properties
The formation energy from the elements is -0.22 eV/f.u. For the calculated volume, the calculation gives 74.8 Å³ per cell. As for the space group: P3m1 (156). Its size of the total moment is 0.00 μB per cell. The offset from the most stable computed form is 136 meV per atom.


[2]
# KCd3Ag4Cl12

An optimized crystal structure of KCd3Ag4Cl12 (PBE, Alexandria).

extended XYZ file:
```
20
Lattice="-5.6406 1.7010 -6.6936 -4.7989 -3.6037 6.5953 2.9845 7.8674 2.9515" Properties=species:S:1:pos:R:3 pbc="T T T"
Ag -6.8087 -1.5587 2.8691
Cl -1.0361 3.4799 6.4409
Cd -1.5206 1.2278 5.0606
Cl -3.5820 2.0657 3.7229
Cl -5.8759 -0.9370 4.9843
Cl -2.2830 6.3984 -2.9183
Cl -0.4839 7.7627 -0.0919
Ag -4.0607 5.0823 -3.8342
Cl -0.1513 6.9657 3.4210
Cl -5.2179 1.9168 -0.2401
K 0.0000 0.0000 0.0000
Cl -5.7836 3.4210 -3.8851
Cl -2.3825 4.9646 0.7969
Cd -0.6483 5.2702 -1.1109
Ag -0.3130 5.4235 5.2448
Cd -5.2861 -0.5333 -1.0965
Cl -7.3219 0.4126 -2.5929
Cl -7.2350 -1.4340 0.5167
Ag -3.7275 2.9824 1.4266
Cl -3.3767 0.7717 6.9646
```

Properties
The value obtained for the total energy is -53.94 eV per cell. For the calculated volume, the calculation gives 591.0 Å³ per cell. As for the space group: R32 (155). Its size of the total moment is 0.00 μB per cell.


[3]
# SrY2SiAg

An optimized crystal structure of SrY2SiAg (PBE, Alexandria).

extended XYZ file:
```
5
Lattice="-5.3665 -2.0284 -0.2685 0.1354 -1.0266 5.0495 -2.0405 5.2501 1.1221" Properties=species:S:1:pos:R:3 pbc="T T T"
Y -2.6833 -1.0142 -0.1342
Si -3.6358 1.0976 2.9515
Sr 0.0000 0.0000 0.0000
Ag 0.0677 -0.5133 2.5247
Y -1.0202 2.6250 0.5610
```

Properties
The value obtained for the total energy is -15.86 eV per cell. For the calculated volume, the calculation gives 170.0 Å³ per cell. As for the space group: P4/mmm (123). Its size of the total moment is 0.00 μB per cell.


[4]
# K2Sn2As

An optimized crystal structure of K2Sn2As (PBE, Alexandria).

extended XYZ file:
```
10
Lattice="-4.3282 -2.6573 -5.6507 5.9927 -3.6996 -2.8504 -1.3390 -4.6406 3.2079" Properties=species:S:1:pos:R:3 pbc="T T T"
Sn 1.5734 -1.7061 -1.8113
Sn -1.9346 -2.2051 -3.9974
K -2.2982 -5.6937 -3.9559
Sn 0.0912 -4.6508 -6.6898
As 0.0000 0.0000 0.0000
As 0.8323 -3.1784 -4.2506
Sn 3.5991 -4.1517 -4.5037
K 1.3185 -7.1626 -4.5712
K -0.9930 -3.8348 -0.7220
K 2.6237 -5.3037 -1.3373
```

Properties
The formation energy from the elements is -0.65 eV/f.u. For the calculated volume, the calculation gives 334.7 Å³ per cell. As for the space group: P4/mbm (127). Its size of the total moment is 0.00 μB per cell.


[5]
# CrTcAg2

An optimized crystal structure of CrTcAg2 (PBE, Alexandria).

extended XYZ file:
```
4
Lattice="2.5994 0.3316 0.0000 -0.3311 2.5995 0.0000 0.0000 0.0000 8.9363" Properties=species:S:1:pos:R:3 pbc="T T T"
Cr 1.1342 1.4655 2.2341
Ag 0.0000 0.0000 0.0780
Tc 1.1342 1.4655 6.7022
Ag 0.0000 0.0000 4.3901
```

Properties
The formation energy from the elements is 2.66 eV/f.u. For the calculated volume, the calculation gives 61.4 Å³ per cell. As for the space group: P4/mmm (123). Its size of the total moment is 0.00 μB per cell. The offset from the most stable computed form is 341 meV per atom.


[6]
# TmB6Rh12

An optimized crystal structure of TmB6Rh12 (PBE, Alexandria).

extended XYZ file:
```
19
Lattice="6.4844 0.0038 0.0053 -1.6038 6.2830 0.0053 -1.6038 -2.0658 5.9336" Properties=species:S:1:pos:R:3 pbc="T T T"
B 3.6093 0.9952 1.4016
Rh 1.3887 3.9828 3.2850
Rh 1.8882 0.2381 2.6592
Rh -1.3289 1.3512 5.1471
B -0.3324 3.2257 4.5426
Rh -1.3289 4.4141 2.9721
Rh -0.2374 1.8883 2.6592
Rh 1.3887 1.7888 4.8430
B 0.0695 0.0895 3.9961
Rh 1.6384 -0.9525 5.1471
Rh 1.8882 2.4322 1.1012
B 0.0695 3.7434 1.4016
Tm 0.0000 0.0000 0.0000
B 3.2074 0.4776 4.5426
Rh 3.5143 2.3326 3.2850
Rh 1.6384 5.1734 0.7971
Rh 4.6058 2.8697 0.7971
B 3.2074 4.1314 1.9481
Rh 4.6058 -0.1932 2.9721
```

Properties
The formation energy from the elements is -6.69 eV/f.u. For the calculated volume, the calculation gives 241.9 Å³ per cell. As for the space group: R-3m (166). Its size of the total moment is 0.00 μB per cell.


[7]
# BaNa2SrO

An optimized crystal structure of BaNa2SrO (PBE, Alexandria).

extended XYZ file:
```
5
Lattice="6.9591 0.0000 0.0000 0.0000 4.5443 0.0000 0.0000 0.0000 6.9591" Properties=species:S:1:pos:R:3 pbc="T T T"
Na 0.0000 0.0000 3.4795
Na 3.4795 0.0000 0.0000
O 0.0000 2.2722 0.0000
Ba 3.4795 2.2722 3.4795
Sr 0.0000 0.0000 0.0000
```

Properties
The value obtained for the total energy is -13.32 eV per cell. For the calculated volume, the calculation gives 220.1 Å³ per cell. As for the space group: P4/mmm (123). Its size of the total moment is 0.00 μB per cell.


[8]
# Na3Sn5H12

An optimized crystal structure of Na3Sn5H12 (PBE, Alexandria).

extended XYZ file:
```
80
Lattice="-10.3618 -4.9545 -1.4416 6.1024 -0.8975 -9.7953 5.6637 -5.3257 8.5763" Properties=species:S:1:pos:R:3 pbc="T T T"
Sn 0.0000 0.0000 0.0000
H -1.7588 -8.2458 -5.0485
Sn 0.7022 -5.5889 -1.3303
H -5.6110 -7.5084 3.1613
H 5.3114 -1.4564 -8.1056
H 2.4153 -8.0724 1.3736
H -2.5972 -4.0316 1.9852
Sn -1.8335 -6.2740 -3.9872
H -0.4192 -4.9207 3.4236
H 6.3908 -3.7926 -2.3622
H -2.7257 -5.1234 -10.2829
Sn -2.1297 -2.9260 -5.6185
H 1.4100 -5.8694 0.4623
H -5.8066 -6.2023 -5.3944
H -0.2131 -3.9809 -0.7219
Na 0.2962 -3.3480 1.6313
Sn 1.1249 -5.9644 4.6672
H -1.0110 -3.1053 -4.0343
H 4.5033 -4.4794 -0.4730
H 2.2693 -4.5224 -1.7776
Sn 3.0512 -0.4488 -4.8977
H 7.1636 -4.3132 0.2330
H 2.7331 -2.1389 -5.8117
Sn -5.1809 -2.4773 -0.7208
H -0.8650 -6.6553 -0.8830
Sn 2.4091 -2.2873 -1.7094
Sn -2.0528 -8.4881 5.1986
H 0.5000 -9.4593 -2.5107
H 4.1301 -6.0543 7.6222
Sn -1.6521 -2.7480 -1.9174
H 2.8912 -4.5895 4.5669
H 7.9425 -7.5600 -1.1335
H 1.8603 -0.9984 -3.4579
H -3.0989 -6.6984 -2.1876
Na 0.0601 -7.4274 1.8579
H -2.2563 -6.7290 2.4448
H 0.9043 -1.7184 -0.1499
Sn 0.2794 -5.2133 -7.3278
H -4.7454 -3.8871 0.5504
H 3.6606 -4.4487 -5.1054
H 4.0015 -7.1461 -4.6459
Na -6.8879 -5.7788 -0.3418
Sn 5.4055 -3.2896 -4.3106
H 5.2551 -8.0005 -0.7013
H -0.5760 -3.2234 -6.7546
Sn 3.4571 -2.6897 -7.8593
H -0.4559 -10.1794 0.7972
Na 4.2310 -5.8596 -2.5269
Sn -4.0012 -7.8881 1.6499
H 1.6174 -7.1968 -1.9387
Na 8.2922 -5.3989 -2.3189
H -1.3288 -9.0388 3.1511
H -4.9864 -7.3852 -0.2985
H -0.0057 -5.3083 -3.1230
Sn 3.0565 -8.4297 -0.7433
H 6.1498 -7.2907 -3.2111
Sn 3.2378 -4.9038 1.3265
H -2.4703 -4.8434 -5.5897
Na 1.1081 -7.8298 -4.2919
Na 5.1862 -5.5037 4.8752
Sn -2.3490 -5.1401 3.5673
H 1.8235 -6.2571 -6.0843
H -5.7592 -6.8645 -2.8937
Na 1.3443 -3.7503 -4.5186
H -3.8508 -3.1773 -1.9593
H 7.0154 -3.6693 -5.8219
Sn 2.8319 -2.6628 4.2881
H 1.9803 -7.9543 4.0939
H -1.4868 -6.5882 -7.2276
Sn 5.8831 -3.1116 -0.6095
H 7.2110 -4.9754 2.7337
H 3.8747 -6.3343 2.9290
H 3.1632 -2.9320 2.3878
Na 6.1793 -6.4596 1.0218
Na -2.8266 -5.3181 -0.1337
Na -3.7818 -5.6741 -7.5359
Sn -1.0048 -8.8904 -0.9513
Na -4.7750 -4.7182 -3.6824
H -6.5382 -3.6178 -1.5272
H -3.9071 -9.7214 5.4449
```

Properties
The value obtained for the total energy is -232.57 eV per cell. For the calculated volume, the calculation gives 1194.0 Å³ per cell. As for the space group: Ia-3d (230). Its size of the total moment is 0.00 μB per cell.


[9]
# Ba8Sr3Li2

An optimized crystal structure of Ba8Sr3Li2 (PBE, Alexandria).

extended XYZ file:
```
13
Lattice="6.6613 -0.0002 0.0001 0.0001 8.3724 1.8040 -0.0003 -0.6528 12.6917" Properties=species:S:1:pos:R:3 pbc="T T T"
Ba 3.3306 0.1609 4.2338
Ba 3.3307 4.2722 3.0954
Ba 3.3305 7.5585 10.2620
Ba 0.0000 6.4212 4.4943
Ba 6.6611 1.2982 10.0015
Sr 6.6611 5.5629 12.9621
Ba 3.3304 3.4471 11.4004
Ba 6.6611 5.5799 8.6122
Ba 0.0000 2.1395 5.8836
Sr 3.3306 -0.0001 0.0000
Sr 0.0000 2.1564 1.5337
Li 3.3304 5.1058 6.6579
Li 3.3307 2.6135 7.8379
```

Properties
The formation energy from the elements is 0.58 eV/f.u. For the calculated volume, the calculation gives 715.7 Å³ per cell. As for the space group: P2/m (10). Its size of the total moment is 0.00 μB per cell.


[10]
# ErSnAu

An optimized crystal structure of ErSnAu (PBE, Alexandria).

extended XYZ file:
```
6
Lattice="4.7254 0.0000 0.0000 -2.3627 4.0923 0.0000 0.0000 0.0000 7.2182" Properties=species:S:1:pos:R:3 pbc="T T T"
Au 2.3627 1.3641 1.7352
Au 0.0000 2.7282 5.3443
Er 0.0000 0.0000 3.5393
Sn 0.0000 2.7282 1.7344
Sn 2.3627 1.3641 5.3435
Er 0.0000 0.0000 7.1484
```

Properties
The formation energy from the elements is -2.08 eV/f.u. For the calculated volume, the calculation gives 139.6 Å³ per cell. As for the space group: P6_3/mmc (194). Its size of the total moment is 0.00 μB per cell.


[11]
# NaNb3Cr

An optimized crystal structure of NaNb3Cr (PBE, Alexandria).

extended XYZ file:
```
5
Lattice="-4.6373 0.6726 -0.2507 -0.6723 -3.4955 3.0577 0.2515 3.0576 3.5507" Properties=species:S:1:pos:R:3 pbc="T T T"
Na 0.0000 0.0000 0.0000
Cr -2.5290 0.1174 3.1788
Nb -2.3186 0.3363 -0.1254
Nb 0.1258 1.5288 1.7754
Nb -0.3362 -1.7477 1.5288
```

Properties
The formation energy from the elements is 11.32 eV/f.u. For the calculated volume, the calculation gives 103.3 Å³ per cell. As for the space group: Pm-3m (221). Its size of the total moment is 3.20 μB per cell. The offset from the most stable computed form is 1257 meV per atom.


[12]
# ThRuAu

An optimized crystal structure of ThRuAu (PBE, Alexandria).

extended XYZ file:
```
6
Lattice="-2.7594 2.2898 -1.3925 -2.2553 -0.9407 2.9224 4.3753 7.2317 3.2215" Properties=species:S:1:pos:R:3 pbc="T T T"
Au -0.2063 5.5965 1.6423
Th 0.7613 5.4710 4.8314
Th -1.4007 3.1098 -0.0800
Ru -1.4780 0.8090 1.6027
Ru 0.8386 7.7718 3.1488
Au -0.4331 2.9842 3.1092
```

Properties
The formation energy from the elements is -1.48 eV/f.u. For the calculated volume, the calculation gives 129.6 Å³ per cell. As for the space group: Cmcm (63). Its size of the total moment is 0.00 μB per cell. The offset from the most stable computed form is 0 meV per atom.